The following is a DFT calculation (PBE-GGA) of an optimized crystal structure of NaAgOs2.

Unit cell a=8.135 b=8.135 c=4.647 alpha=90.00 beta=90.00 gamma=90.00
Space group I-42d (No. 122)
Unique sites:
Na: 0.000 0.000 0.000 (multiplicity 4)
Ag: 0.000 0.000 0.500 (multiplicity 4)
Os: 0.193 0.250 0.625 (multiplicity 8)

Summary:
- offset from the most stable computed form (meV/atom) = 0
- size of the total moment (μB per cell) = 0.00
- raw total energy (Ha/atom) = -0.191
- energy of formation from the pure elements (eV/f.u.) = 5.82